No. 1
The following is a DFT calculation (PBE-GGA) of a relaxed structure of ReIrRu2.

## Properties
E_form	0.0379	eV/atom
symmetry	R3m, No. 160

Cell: 9.0087 9.0087 9.0087 Å, 17.46 17.46 17.46°
Last column: nearest neighbours and their distance in Å.
Positions (direct):
Ir 0.4999 0.4999 0.4999  3 Re 2.72, 6 Ir 2.73, 3 Ru 2.74
Re 0.7497 0.7497 0.7497  3 Ir 2.72, 3 Ru 2.73, 6 Re 2.73
Ru 0.9995 0.9995 0.9995  9 Ru 2.69-2.73, 3 Re 2.73
Ru 0.2509 0.2509 0.2509  9 Ru 2.69-2.73, 3 Ir 2.74



No. 2
The following is a DFT calculation (PBE-GGA) of a relaxed structure of ReTe2IrRu.

## Properties
E_form (uncorrected)	1.855	eV per atom
symmetry	P4/mmm, No. 123

Cell: 5.1228 4.7362 5.1228 Å, 90.00 90.00 90.00°
Last column: nearest neighbours and their distance in Å.
Positions (direct):
Re 0.0000 0.5000 0.0000  2 Ir 2.37
Ir 0.0000 0.0000 0.0000  2 Re 2.37, 4 Te 2.56
Te 0.0000 0.0000 0.5000  2 Ir 2.56
Te 0.5000 0.0000 0.0000  2 Ir 2.56
Ru 0.5000 0.5000 0.5000  8 Te 3.49, 4 Re 3.62



No. 3
The following is a DFT calculation (PBE-GGA) of a relaxed structure of ReIrRuW.

## Properties
E_form	-0.1461	eV/atom
symmetry	Pmmm, No. 47

Cell: 3.8893 3.9059 3.8979 Å, 90.00 90.00 90.00°
Last column: nearest neighbours and their distance in Å.
Positions (direct):
Re 0.5000 0.5000 0.0000  4 Ir 2.75, 4 Ru 2.76, 4 W 2.76
Ir 0.0000 0.5000 0.5000  4 Re 2.75, 4 W 2.76, 4 Ru 2.76
Ru 0.0000 0.0000 0.0000  4 W 2.75, 4 Re 2.76, 4 Ir 2.76
W 0.5000 0.0000 0.5000  4 Ru 2.75, 4 Ir 2.76, 4 Re 2.76



No. 4
The following is a DFT calculation (PBE-GGA) of a relaxed structure of ReIr2S.

## Properties
E_form (uncorrected)	0.542	eV per atom
symmetry	I-42d, No. 122

Cell: 5.5642 5.5642 6.5286 Å, 64.78 64.78 90.00°
Last column: nearest neighbours and their distance in Å.
Positions (direct):
Re 0.0000 0.0000 0.0000  4 Ir 2.41
Re 0.7500 0.2500 0.5000  4 Ir 2.41
S 0.5000 0.5000 0.0000  4 Ir 2.31
S 0.2500 0.7500 0.5000  4 Ir 2.31
Ir 0.6089 0.1250 0.2500  2 S 2.31, 2 Re 2.41
Ir 0.1411 0.6250 0.2500  2 S 2.31, 2 Re 2.41
Ir 0.3750 0.3911 0.7500  2 S 2.31, 2 Re 2.41
Ir 0.8750 0.8589 0.7500  2 S 2.31, 2 Re 2.41



No. 5
The following is a DFT calculation (PBE-GGA) of a relaxed structure of ReIrS2.

## Properties
E_form (uncorrected)	0.540	eV per atom
symmetry	Fm-3m, No. 225

Cell: 4.2713 4.2713 4.2713 Å, 60.00 60.00 60.00°
Last column: nearest neighbours and their distance in Å.
Positions (direct):
Re 0.0000 0.0000 0.0000  8 S 2.62
S 0.2500 0.2500 0.2500  4 Ir 2.62, 4 Re 2.62
S 0.7500 0.7500 0.7500  4 Ir 2.62, 4 Re 2.62
Ir 0.5000 0.5000 0.5000  8 S 2.62



No. 6
The following is a DFT calculation (PBE-GGA) of a relaxed structure of ReIr3S.

## Properties
E_form (uncorrected)	2.022	eV per atom
symmetry	Pm-3m, No. 221

Cell: 4.7462 4.7462 4.7462 Å, 90.00 90.00 90.00°
Last column: nearest neighbours and their distance in Å.
Positions (direct):
Re 0.0000 0.0000 0.0000  6 Ir 2.37
S 0.5000 0.5000 0.5000  12 Ir 3.36
Ir 0.0000 0.5000 0.0000  2 Re 2.37
Ir 0.0000 0.0000 0.5000  2 Re 2.37
Ir 0.5000 0.0000 0.0000  2 Re 2.37



No. 7
The following is a DFT calculation (PBE-GGA) of a relaxed structure of ReIrS2.

## Properties
E_form (uncorrected)	0.147	eV per atom
symmetry	I-42d, No. 122

Cell: 5.2684 5.2684 6.4132 Å, 65.75 65.75 90.00°
Last column: nearest neighbours and their distance in Å.
Positions (direct):
Re 0.5000 0.5000 0.0000  4 S 2.26
Re 0.2500 0.7500 0.5000  4 S 2.26
S 0.6205 0.1250 0.2500  2 Re 2.26, 2 Ir 2.29
S 0.1295 0.6250 0.2500  2 Re 2.26, 2 Ir 2.29
S 0.3750 0.3795 0.7500  2 Re 2.26, 2 Ir 2.29
S 0.8750 0.8705 0.7500  2 Re 2.26, 2 Ir 2.29
Ir 0.0000 0.0000 0.0000  4 S 2.29
Ir 0.7500 0.2500 0.5000  4 S 2.29



No. 8
The following is a DFT calculation (PBE-GGA) of a relaxed structure of ReIrS2.

## Properties
E_form (uncorrected)	0.020	eV per atom
symmetry	R-3m, No. 166

Cell: 8.0207 8.0207 8.0207 Å, 21.66 21.66 21.66°
Last column: nearest neighbours and their distance in Å.
Positions (direct):
Re 0.5000 0.5000 0.5000  6 S 2.41
S 0.9042 0.9042 0.9042  1 Ir 2.25, 3 Re 2.41
S 0.0958 0.0958 0.0958  1 Ir 2.25, 3 Re 2.41
Ir 0.0000 0.0000 0.0000  2 S 2.25



M_tot / μB per formula unit: 0.0; 1.4; 0.0; 0.0; 0.0; 0.0; 0.0; 0.0
DOS(E_F) / states/eV/cell: 4.58; 8.97; 3.29; 3.62; 2.80; 9.64; 4.60; 2.27
Ρ / kg/m3: 16780; 9815; 18602; 12409; 13337; 12346; 10144; 11935